Entry from the Open Quantum Materials Database: a relaxed BeZnTeO crystal (GGA-PBE).

abc: 4.0617 4.0617 7.2798
angles: 90.00 90.00 90.00
With the nearest neighbours (Å) after each atom.
Fractional coordinates of all 8 atoms:
Be  0.2500  0.2500  0.1867  1 O 1.60
Be  0.7500  0.7500  0.8133  1 O 1.60
Zn  0.2500  0.7500  0.5000  4 O 2.14
Zn  0.7500  0.2500  0.5000  4 O 2.14
Te  0.2500  0.2500  0.8477  1 Be 2.47
Te  0.7500  0.7500  0.1523  1 Be 2.47
O  0.2500  0.2500  0.4065  1 Be 1.60
O  0.7500  0.7500  0.5935  1 Be 1.60

**Relative energy among the computed polymorphs**: 0.5436 eV/atom
**Calculated density**: 6.029 g cm⁻³